Record 1
VASP calculation (PBE) on a relaxed Ti7ZnCo2 crystal.

The structure in POSCAR format:
```
Ti7ZnCo2
1.0
-3.003 -0.379 3.097
4.981 -0.968 4.712
-2.015 6.524 -1.156
Ti Co Zn
7 2 1
Direct
0.500 0.307 0.061
0.000 0.725 0.275
0.000 0.275 0.725
0.500 0.939 0.693
0.500 0.500 0.500
0.500 0.693 0.939
0.500 0.061 0.307
0.500 0.702 0.298
0.500 0.298 0.702
0.000 0.000 0.000
```

Results
Crystal system: orthorhombic
Symmetry: Cmmm
Formation energy from the elements in eV per atom: 0.3026

Record 2
VASP calculation (PBE) on a relaxed Sc6Tc2Rh crystal.

The structure in POSCAR format:
```
Sc6Tc2Rh
1.0
-0.579 -5.902 -5.074
6.693 3.803 -1.290
-0.065 -2.741 7.307
Sc Tc Rh
12 4 2
Direct
0.196 0.727 0.923
0.423 0.250 0.173
0.701 0.037 0.336
0.577 0.750 0.827
0.804 0.273 0.077
0.701 0.365 0.664
0.196 0.273 0.469
0.804 0.727 0.531
0.299 0.963 0.664
0.299 0.635 0.336
0.923 0.750 0.173
0.077 0.250 0.827
0.332 0.000 0.332
0.668 0.000 0.668
0.500 0.629 0.129
0.500 0.371 0.871
0.000 0.000 0.000
0.000 0.500 0.500
```

Results
Crystal system: orthorhombic
Symmetry: Immm
Formation energy from the elements in eV per atom: -0.2999

Record 3
VASP calculation (PBE) on a relaxed La2CuAs crystal.

The structure in POSCAR format:
```
La2CuAs
1.0
-1.310 3.822 6.636
4.569 -5.013 3.789
4.727 1.694 4.506
As La Cu
2 4 2
Direct
0.750 0.250 0.500
0.000 0.000 0.000
0.617 0.125 0.250
0.133 0.625 0.250
0.375 0.383 0.750
0.875 0.867 0.750
0.500 0.500 0.000
0.250 0.750 0.500
```

Results
Crystal system: tetragonal
Symmetry: I-42d
Formation energy from the elements in eV per atom: -0.5175

Record 4
VASP calculation (PBE) on a relaxed Rb2HfBiO6 crystal.

The structure in POSCAR format:
```
Rb2HfBiO6
1.0
6.003 0.000 0.000
0.000 6.003 0.000
0.000 0.000 8.489
O Rb Hf Bi
12 4 2 2
Direct
0.500 0.250 0.246
0.746 0.003 0.000
0.000 0.750 0.746
0.254 0.003 0.000
0.246 0.504 0.500
0.754 0.997 0.500
0.254 0.496 0.000
0.246 0.997 0.500
0.500 0.250 0.754
0.746 0.496 0.000
0.754 0.504 0.500
0.000 0.750 0.254
0.500 0.750 0.750
0.000 0.250 0.250
0.500 0.750 0.250
0.000 0.250 0.750
0.500 0.250 0.000
0.000 0.750 0.500
0.500 0.250 0.500
0.000 0.750 0.000
```

Results
Crystal system: cubic
Symmetry: Fm-3m
Raw formation energy in eV per atom: -1.765

Going through the records in order, we get size of the total moment values of 0.001 0.000 0.000 0.847 μB/f.u..
Going through the records in order, we get N(E_F) values of 1.238 0.824 0.769 0.599 states/eV/atom.